# La2VNi, optimized geometry, DFT PBE
data_La2VNi
_cell_length_a 7.9627
_cell_length_b 7.9627
_cell_length_c 6.2888
_cell_angle_alpha 90.00
_cell_angle_beta 90.00
_cell_angle_gamma 90.00
_symmetry_space_group_name_H-M 'I -4 2 d'
_symmetry_Int_Tables_number 122
_symmetry_space_group_name_Hall 'I -4 2bw'
loop_
_atom_site_label
_atom_site_type_symbol
_atom_site_fract_x
_atom_site_fract_y
_atom_site_fract_z
La1 La 0.2092 0.7500 0.1250
V1 V 0.0000 0.0000 0.5000
Ni1 Ni 0.0000 0.0000 0.0000
# - Final energy: -5.810 eV/atom
# - DFT formation energy: 1.5 eV/f.u.
# - Size of the total moment: 3.25 μB per formula unit
# - DOS at the Fermi energy: 11.0 states/eV per cell
# - Offset from the most stable computed form: 156 meV per atom